(1)
{"formula": "NdPu3Ru2", "functional": "PBE", "state": "optimized geometry", "lattice_angstrom": [[8.2536, -2.0576, 0.0000], [8.2536, 2.0576, 0.0000], [-1.5949, 0.0000, 7.3992]], "species": ["Nd", "Nd", "Pu", "Pu", "Pu", "Pu", "Pu", "Pu", "Ru", "Ru", "Ru", "Ru"], "fractional_positions": [[0.1095, 0.1095, 0.1623], [0.8905, 0.8905, 0.8377], [0.0525, 0.0525, 0.6341], [0.2985, 0.2985, 0.0896], [0.3755, 0.3755, 0.4744], [0.6245, 0.6245, 0.5256], [0.7015, 0.7015, 0.9104], [0.9475, 0.9475, 0.3659], [0.2396, 0.2396, 0.6427], [0.4620, 0.4620, 0.1429], [0.5380, 0.5380, 0.8571], [0.7604, 0.7604, 0.3573]], "e_above_lowest_polymorph_mev_per_atom": 53.9, "magnetic_moment_mub_per_fu": 6.175}


(2)
{"formula": "Tl2Bi2Pd", "functional": "PBE", "state": "optimized geometry", "lattice_angstrom": [[7.3250, 0.0000, 0.0000], [0.0000, 7.3250, 0.0000], [0.0000, 0.0000, 5.5589]], "species": ["Tl", "Tl", "Tl", "Tl", "Bi", "Bi", "Bi", "Bi", "Pd", "Pd"], "fractional_positions": [[0.1656, 0.3344, 0.0000], [0.3344, 0.8344, 0.0000], [0.6656, 0.1656, 0.0000], [0.8344, 0.6656, 0.0000], [0.1522, 0.6522, 0.5000], [0.3478, 0.1522, 0.5000], [0.6522, 0.8478, 0.5000], [0.8478, 0.3478, 0.5000], [0.0000, 0.0000, 0.5000], [0.5000, 0.5000, 0.5000]], "e_above_lowest_polymorph_mev_per_atom": 88.5, "magnetic_moment_mub_per_fu": 0.000}


(3)
{"formula": "ThZn2Ru", "functional": "PBE", "state": "optimized geometry", "lattice_angstrom": [[2.1555, 1.2445, 4.9285], [-2.1555, 1.2445, 4.9285], [0.0000, -2.4890, 4.9285]], "species": ["Th", "Zn", "Zn", "Ru"], "fractional_positions": [[0.0000, 0.0000, 0.0000], [0.2095, 0.2095, 0.2095], [0.7905, 0.7905, 0.7905], [0.5000, 0.5000, 0.5000]], "magnetic_moment_mub_per_fu": 0.000, "e_tot_ha_per_atom": -0.1810}


(4)
{"formula": "Ti4Al", "functional": "PBE", "state": "optimized geometry", "lattice_angstrom": [[-2.2210, 2.8007, 6.6815], [2.2210, -2.8007, 6.6815], [2.2210, 2.8007, -6.6815]], "species": ["Ti", "Ti", "Ti", "Ti", "Ti", "Ti", "Ti", "Ti", "Al", "Al"], "fractional_positions": [[0.0000, 0.0000, 0.0000], [0.1995, 0.1989, 0.0006], [0.3017, 0.8011, 0.5006], [0.3524, 0.6024, 0.7500], [0.5000, 0.0000, 0.5000], [0.6476, 0.3976, 0.2500], [0.6983, 0.1989, 0.4994], [0.8005, 0.8011, 0.9994], [0.1403, 0.3903, 0.7500], [0.8597, 0.6097, 0.2500]], "e_above_lowest_polymorph_mev_per_atom": 0.0, "magnetic_moment_mub_per_fu": 0.000}


(5)
{"formula": "Ba2PuCdS5", "functional": "PBE", "state": "optimized geometry", "lattice_angstrom": [[2.1044, -9.0447, 0.0000], [2.1044, 9.0447, 0.0000], [0.0000, 0.0000, 12.9799]], "species": ["Ba", "Ba", "Ba", "Ba", "Pu", "Pu", "Cd", "Cd", "S", "S", "S", "S", "S", "S", "S", "S", "S", "S"], "fractional_positions": [[0.1092, 0.8908, 0.5000], [0.1280, 0.8720, 0.1267], [0.8720, 0.1280, 0.6267], [0.8908, 0.1092, 0.0000], [0.2083, 0.7917, 0.8314], [0.7917, 0.2083, 0.3314], [0.4509, 0.5491, 0.2646], [0.5491, 0.4509, 0.7646], [0.0607, 0.9393, 0.8731], [0.2856, 0.7144, 0.4647], [0.3051, 0.6949, 0.1951], [0.3537, 0.6463, 0.8177], [0.4968, 0.5032, 0.5892], [0.5032, 0.4968, 0.0892], [0.6463, 0.3537, 0.3177], [0.6949, 0.3051, 0.6951], [0.7144, 0.2856, 0.9647], [0.9393, 0.0607, 0.3731]], "magnetic_moment_mub_per_fu": 4.000, "raw_formation_energy_mev_per_atom": -1552}


(6)
{"formula": "CsTlHg5Au2", "functional": "PBE", "state": "optimized geometry", "lattice_angstrom": [[5.6568, 0.0000, 0.0000], [0.0000, 5.6568, 0.0000], [0.0000, 0.0000, 8.5121]], "species": ["Cs", "Tl", "Hg", "Hg", "Hg", "Hg", "Hg", "Au", "Au"], "fractional_positions": [[0.0000, 0.0000, 0.0000], [0.0000, 0.0000, 0.5000], [0.0000, 0.5000, 0.3079], [0.0000, 0.5000, 0.6921], [0.5000, 0.0000, 0.3079], [0.5000, 0.0000, 0.6921], [0.5000, 0.5000, 0.0000], [0.5000, 0.5000, 0.3304], [0.5000, 0.5000, 0.6696]], "magnetic_moment_mub_per_fu": 0.000, "e_tot_ha_per_atom": -0.0494}


(7)
{"formula": "Mn2CuSn2", "functional": "PBE", "state": "optimized geometry", "lattice_angstrom": [[-2.4874, 2.4874, 3.6564], [2.4874, -2.4874, 3.6564], [2.4874, 2.4874, -3.6564]], "species": ["Mn", "Mn", "Cu", "Sn", "Sn"], "fractional_positions": [[0.1382, 0.1382, 0.0000], [0.8618, 0.8618, 0.0000], [0.5000, 0.5000, 0.0000], [0.2500, 0.7500, 0.5000], [0.7500, 0.2500, 0.5000]], "magnetic_moment_mub_per_fu": 2.529, "e_tot_ha_per_atom": -0.2022}


(8)
{"formula": "TeIBr3", "functional": "PBE", "state": "optimized geometry", "lattice_angstrom": [[5.6162, 0.0000, 0.0000], [0.0000, 5.6162, 0.0000], [0.0000, 0.0000, 5.6162]], "species": ["Te", "I", "Br", "Br", "Br"], "fractional_positions": [[0.0000, 0.0000, 0.0000], [0.5000, 0.5000, 0.5000], [0.0000, 0.0000, 0.5000], [0.0000, 0.5000, 0.0000], [0.5000, 0.0000, 0.0000]], "e_above_lowest_polymorph_mev_per_atom": 343.3, "magnetic_moment_mub_per_fu": 0.001, "raw_formation_energy_mev_per_atom": 68}


(9)
{"formula": "MgSnPb2Cl8", "functional": "PBE", "state": "optimized geometry", "lattice_angstrom": [[6.4198, 0.0000, 0.0000], [0.0000, 8.4597, 0.0000], [-0.0412, 0.0000, 6.6687]], "species": ["Mg", "Sn", "Pb", "Pb", "Cl", "Cl", "Cl", "Cl", "Cl", "Cl", "Cl", "Cl"], "fractional_positions": [[0.0000, 0.0000, 0.0000], [0.0000, 0.5000, 0.0000], [0.5000, 0.2378, 0.5000], [0.5000, 0.7622, 0.5000], [0.2144, 0.2241, 0.1544], [0.2144, 0.7759, 0.1544], [0.2413, 0.0000, 0.6928], [0.2655, 0.5000, 0.6626], [0.7345, 0.5000, 0.3374], [0.7587, 0.0000, 0.3072], [0.7856, 0.2241, 0.8456], [0.7856, 0.7759, 0.8456]], "magnetic_moment_mub_per_fu": 0.000, "raw_formation_energy_mev_per_atom": -1262}


(10)
{"formula": "MgCrInRh", "functional": "PBE", "state": "optimized geometry", "lattice_angstrom": [[0.0000, 3.2215, 3.2215], [3.2215, 0.0000, 3.2215], [3.2215, 3.2215, 0.0000]], "species": ["Mg", "Cr", "In", "Rh"], "fractional_positions": [[0.0000, 0.0000, 0.0000], [0.2500, 0.2500, 0.2500], [0.5000, 0.5000, 0.5000], [0.7500, 0.7500, 0.7500]], "magnetic_moment_mub_per_fu": 3.468, "e_tot_ha_per_atom": -0.2007}